No. 1
This record from the Alexandria database describes crystalline K2InAg at its relaxed geometry. The functional is PBE.

Its total magnetization is 0.00 μB per cell. As for the formation energy: -0.03 eV/f.u. The total energy comes out at -1.95 eV/atom.

The space group is Imm2 (No. 44) and the conventional cell measures 4.210, 6.053 and 11.624 Å, with angles of 90.00, 90.00 and 90.00 degrees. The asymmetric unit holds K at (0.000, 0.000, 0.000), K at (0.000, 0.500, 0.198), In at (0.000, 0.000, 0.416) and Ag at (0.000, 0.500, 0.761).

No. 2
This record from the Alexandria database describes crystalline KInAg2 at its relaxed geometry. The functional is PBE.

Its total magnetization is 0.00 μB per cell. As for the formation energy: 0.28 eV/f.u. The total energy comes out at -2.31 eV/atom.

The space group is P2/m (No. 10) and the conventional cell measures 3.124, 4.287 and 7.736 Å, with angles of 90.00, 90.47 and 90.00 degrees. The asymmetric unit holds K at (0.000, 0.000, 0.000), In at (0.000, 0.000, 0.500) and Ag at (0.500, 0.500, 0.310).

No. 3
This record from the Alexandria database describes crystalline KIn3Ag3 at its relaxed geometry. The functional is PBE.

The value obtained for the offset from the most stable computed form is 23 meV per atom. Its total magnetization is 0.00 μB per cell. As for the formation energy: 0.31 eV/f.u. The total energy comes out at -2.51 eV/atom.

The space group is R-3 (No. 148, hexagonal axes) and the conventional cell measures 7.4515, 7.4515 and 24.8823 Å, with angles of 90.00, 90.00 and 120.00 degrees. The asymmetric unit holds K at (0.0000, 0.0000, 0.1616), In at (0.0418, 0.5954, 0.3766) and Ag at (0.0222, 0.7935, 0.5907).

No. 4
This record from the Alexandria database describes crystalline K6InAg at its relaxed geometry. The functional is PBE.

Its total magnetization is 0.00 μB per cell. As for the formation energy: -0.03 eV/f.u. The total energy comes out at -1.53 eV/atom.

The space group is Amm2 (No. 38) and the conventional cell measures 4.710, 13.254 and 14.477 Å, with angles of 90.00, 90.00 and 90.00 degrees. The asymmetric unit holds K at (0.000, 0.000, 0.000), K at (0.000, 0.160, 0.707), K at (0.500, 0.000, 0.269), K at (0.500, 0.222, 0.461), In at (0.000, 0.000, 0.481) and Ag at (0.500, 0.000, 0.587).

No. 5
This record from the Alexandria database describes crystalline K3InAg6 at its relaxed geometry. The functional is PBE.

Its total magnetization is 0.00 μB per cell. As for the formation energy: 0.62 eV/f.u. The total energy comes out at -2.25 eV/atom.

The space group is C2/m (No. 12) and the conventional cell measures 12.785, 5.949 and 7.664 Å, with angles of 90.00, 115.37 and 90.00 degrees. The asymmetric unit holds K at (0.000, 0.000, 0.000), K at (0.030, 0.500, 0.275), In at (0.000, 0.000, 0.500), Ag at (0.204, 0.000, 0.450) and Ag at (0.220, 0.246, 0.796).

No. 6
This record from the Alexandria database describes crystalline KIn12Ag6 at its relaxed geometry. The functional is PBE.

Its total magnetization is 0.00 μB per cell. As for the formation energy: -0.03 eV/f.u. The total energy comes out at -2.69 eV/atom.

The space group is R-3m (No. 166, hexagonal axes) and the conventional cell measures 13.0795, 13.0795 and 9.8087 Å, with angles of 90.00, 90.00 and 120.00 degrees. The asymmetric unit holds K at (0.0000, 0.0000, 0.0000), In at (0.0000, 0.3834, 0.5000), In at (0.0838, 0.1675, 0.3203) and Ag at (0.0439, 0.5219, 0.2461).

No. 7
This record from the Alexandria database describes crystalline KIn3Ag at its relaxed geometry. The functional is PBE.

The value obtained for the offset from the most stable computed form is 30 meV per atom. Its total magnetization is 0.00 μB per cell. As for the formation energy: -0.31 eV/f.u. The total energy comes out at -2.49 eV/atom.

The space group is C2/c (No. 15) and the conventional cell measures 17.434, 10.053 and 6.559 Å, with angles of 90.00, 100.83 and 90.00 degrees. The asymmetric unit holds K at (0.000, 0.008, 0.250), K at (0.000, 0.361, 0.750), In at (0.177, 0.498, 0.588), In at (0.180, 0.162, 0.600), In at (0.181, 0.159, 0.081) and Ag at (0.082, 0.319, 0.286).

No. 8
This record from the Alexandria database describes crystalline K2InAg at its relaxed geometry. The functional is PBE.

Its total magnetization is 0.00 μB per cell. As for the formation energy: 0.40 eV/f.u. The total energy comes out at -1.85 eV/atom.

The space group is I-4m2 (No. 119) and the conventional cell measures 5.736, 5.736 and 7.903 Å, with angles of 90.00, 90.00 and 90.00 degrees. The asymmetric unit holds K at (0.000, 0.000, 0.000), K at (0.000, 0.500, 0.250), In at (0.000, 0.000, 0.500) and Ag at (0.000, 0.500, 0.750).

No. 9
This record from the Alexandria database describes crystalline K2InAg at its relaxed geometry. The functional is PBE.

Its total magnetization is 0.00 μB per cell. As for the formation energy: 0.45 eV/f.u. The total energy comes out at -1.83 eV/atom.

The space group is P4/mmm (No. 123) and the conventional cell measures 5.370, 5.370 and 4.938 Å, with angles of 90.00, 90.00 and 90.00 degrees. The asymmetric unit holds K at (0.000, 0.500, 0.000), In at (0.000, 0.000, 0.500) and Ag at (0.500, 0.500, 0.500).

No. 10
This record from the Alexandria database describes crystalline KInAg at its relaxed geometry. The functional is PBE.

Its total magnetization is 0.00 μB per cell. As for the formation energy: 0.03 eV/f.u. The total energy comes out at -2.22 eV/atom.

The space group is P-6m2 (No. 187) and the conventional cell measures 4.9117, 4.9117 and 4.7048 Å, with angles of 90.00, 90.00 and 120.00 degrees. The asymmetric unit holds K at (0.0000, 0.0000, 0.0000), In at (0.3333, 0.6667, 0.5000) and Ag at (0.6667, 0.3333, 0.5000).

No. 11
This record from the Alexandria database describes crystalline K3In4Ag2 at its relaxed geometry. The functional is PBE.

Its total magnetization is 0.00 μB per cell. As for the formation energy: -0.63 eV/f.u. The total energy comes out at -2.29 eV/atom.

The space group is P-1 (No. 2) and the conventional cell measures 4.983, 6.991 and 9.906 Å, with angles of 97.89, 104.53 and 110.79 degrees. The asymmetric unit holds K at (0.000, 0.000, 0.000), K at (0.247, 0.856, 0.638), In at (0.354, 0.636, 0.070), In at (0.478, 0.582, 0.373) and Ag at (0.075, 0.384, 0.767).

No. 12
This record from the Alexandria database describes crystalline K2In7Ag at its relaxed geometry. The functional is PBE.

Its total magnetization is 0.00 μB per cell. As for the formation energy: -0.89 eV/f.u. The total energy comes out at -2.51 eV/atom.

The space group is P-4m2 (No. 115) and the conventional cell measures 4.906, 4.906 and 12.595 Å, with angles of 90.00, 90.00 and 90.00 degrees. The asymmetric unit holds K at (0.000, 0.500, 0.243), In at (0.000, 0.000, 0.000), In at (0.000, 0.000, 0.500), In at (0.000, 0.500, 0.642), In at (0.000, 0.500, 0.873), In at (0.500, 0.500, 0.500) and Ag at (0.500, 0.500, 0.000).

No. 13
This record from the Alexandria database describes crystalline K2InAg at its relaxed geometry. The functional is PBE.

Its total magnetization is 0.00 μB per cell. As for the formation energy: -0.16 eV/f.u. The total energy comes out at -1.99 eV/atom.

The space group is Cmcm (No. 63) and the conventional cell measures 10.552, 8.450 and 6.568 Å, with angles of 90.00, 90.00 and 90.00 degrees. The asymmetric unit holds K at (0.179, 0.146, 0.250), In at (0.000, 0.500, 0.000) and Ag at (0.000, 0.222, 0.750).

No. 14
This record from the Alexandria database describes crystalline K3InAg3 at its relaxed geometry. The functional is PBE.

Its total magnetization is 0.00 μB per cell. As for the formation energy: -0.18 eV/f.u. The total energy comes out at -2.11 eV/atom.

The space group is Cmcm (No. 63) and the conventional cell measures 4.971, 12.514 and 15.082 Å, with angles of 90.00, 90.00 and 90.00 degrees. The asymmetric unit holds K at (0.000, 0.028, 0.250), K at (0.000, 0.270, 0.604), In at (0.000, 0.000, 0.000), Ag at (0.000, 0.343, 0.250) and Ag at (0.000, 0.444, 0.083).

No. 15
This record from the Alexandria database describes crystalline KInAg at its relaxed geometry. The functional is PBE.

Its total magnetization is 0.00 μB per cell. As for the formation energy: -0.18 eV/f.u. The total energy comes out at -2.29 eV/atom.

The space group is Imma (No. 74) and the conventional cell measures 6.112, 6.407 and 8.656 Å, with angles of 90.00, 90.00 and 90.00 degrees. The asymmetric unit holds K at (0.000, 0.250, 0.130), In at (0.250, 0.250, 0.750) and Ag at (0.000, 0.000, 0.500).

No. 16
This record from the Alexandria database describes crystalline K3In2Ag7 at its relaxed geometry. The functional is PBE.

Its total magnetization is 0.00 μB per cell. As for the formation energy: -0.41 eV/f.u. The total energy comes out at -2.43 eV/atom.

The space group is R-3m (No. 166, hexagonal axes) and the conventional cell measures 6.0033, 6.0033 and 28.7254 Å, with angles of 90.00, 90.00 and 120.00 degrees. The asymmetric unit holds K at (0.0000, 0.0000, 0.0000), K at (0.0000, 0.0000, 0.1426), In at (0.0000, 0.0000, 0.3313), Ag at (0.0000, 0.0000, 0.5000) and Ag at (0.0047, 0.5024, 0.0823).

No. 17
This record from the Alexandria database describes crystalline K3In9Ag2 at its relaxed geometry. The functional is PBE.

Its total magnetization is 0.00 μB per cell. As for the formation energy: -1.33 eV/f.u. The total energy comes out at -2.50 eV/atom.

The space group is Immm (No. 71) and the conventional cell measures 4.932, 11.399 and 14.339 Å, with angles of 90.00, 90.00 and 90.00 degrees. The asymmetric unit holds K at (0.000, 0.000, 0.000), K at (0.000, 0.000, 0.314), In at (0.000, 0.281, 0.123), In at (0.000, 0.362, 0.327), In at (0.000, 0.500, 0.000) and Ag at (0.000, 0.225, 0.500).

No. 18
This record from the Alexandria database describes crystalline KInAg2 at its relaxed geometry. The functional is PBE.

Its total magnetization is 0.00 μB per cell. As for the formation energy: 0.32 eV/f.u. The total energy comes out at -2.30 eV/atom.

The space group is C2/m (No. 12) and the conventional cell measures 9.422, 3.676 and 6.904 Å, with angles of 90.00, 102.01 and 90.00 degrees. The asymmetric unit holds K at (0.000, 0.000, 0.000), In at (0.000, 0.500, 0.500) and Ag at (0.232, 0.000, 0.652).

No. 19
This record from the Alexandria database describes crystalline KIn2Ag4 at its relaxed geometry. The functional is PBE.

Its total magnetization is 0.00 μB per cell. As for the formation energy: -0.02 eV/f.u. The total energy comes out at -2.57 eV/atom.

The space group is P4_2/mnm (No. 136) and the conventional cell measures 10.178, 10.178 and 3.168 Å, with angles of 90.00, 90.00 and 90.00 degrees. The asymmetric unit holds K at (0.000, 0.000, 0.000), In at (0.244, 0.244, 0.500) and Ag at (0.026, 0.670, 0.500).

No. 20
This record from the Alexandria database describes crystalline KIn9Ag2 at its relaxed geometry. The functional is PBE.

Its total magnetization is 0.00 μB per cell. As for the formation energy: -0.50 eV/f.u. The total energy comes out at -2.66 eV/atom.

The space group is I4_1/amd (No. 141, origin choice 2) and the conventional cell measures 12.459, 12.459 and 8.330 Å, with angles of 90.00, 90.00 and 90.00 degrees. The asymmetric unit holds K at (0.000, 0.250, 0.375), In at (0.000, 0.250, 0.875), In at (0.123, 0.055, 0.676) and Ag at (0.000, 0.000, 0.000).

No. 21
This record from the Alexandria database describes crystalline K2In12Ag7 at its relaxed geometry. The functional is PBE.

Its total magnetization is 0.00 μB per cell. As for the formation energy: -1.06 eV/f.u. The total energy comes out at -2.67 eV/atom.

The space group is P-6 (No. 174) and the conventional cell measures 11.6999, 11.6999 and 4.4656 Å, with angles of 90.00, 90.00 and 120.00 degrees. The asymmetric unit holds K at (0.0000, 0.0000, 0.0000), K at (0.3333, 0.6667, 0.5000), In at (0.0418, 0.2798, 0.5000), In at (0.1184, 0.7240, 0.0000), In at (0.3837, 0.1847, 0.0000), In at (0.5431, 0.4275, 0.5000), Ag at (0.0623, 0.4570, 0.0000), Ag at (0.2487, 0.2179, 0.5000) and Ag at (0.6667, 0.3333, 0.0000).

No. 22
This record from the Alexandria database describes crystalline K4InAg5 at its relaxed geometry. The functional is PBE.

Its total magnetization is 0.00 μB per cell. As for the formation energy: 0.91 eV/f.u. The total energy comes out at -2.05 eV/atom.

The space group is P1 (No. 1) and the conventional cell measures 6.763, 7.893 and 7.897 Å, with angles of 79.87, 65.18 and 65.18 degrees. The asymmetric unit holds K at (0.000, 0.000, 0.000), K at (0.160, 0.460, 0.217), K at (0.388, 0.839, 0.378), K at (0.772, 0.622, 0.838), In at (0.855, 0.230, 0.609), Ag at (0.274, 0.230, 0.608), Ag at (0.374, 0.501, 0.731), Ag at (0.495, 0.108, 0.879), Ag at (0.643, 0.353, 0.338) and Ag at (0.764, 0.960, 0.486).